No. 1
Density functional theory data (PBE) for a relaxed structure of AlTeRhI2.

Space-group type: P4/mmm
Total DFT energy (no corrections), eV per atom: -2.76
Polymorph energy (0 for the lowest one), eV/f.u.: 2.38

Cell and atoms, written as extended XYZ:
```
5
Lattice="5.460 0.000 0.000 0.000 5.460 0.000 0.000 0.000 5.409" Properties=species:S:1:pos:R:3 pbc="T T T"
I 2.730 0.000 0.000
I 0.000 2.730 0.000
Rh 2.730 2.730 2.705
Al 0.000 0.000 0.000
Te 0.000 0.000 2.705
```


No. 2
Density functional theory data (PBE) for a relaxed structure of La2WSe.

Space-group type: Pmmm
Total DFT energy (no corrections), eV per atom: -6.81
Polymorph energy (0 for the lowest one), eV/f.u.: 0.20

Cell and atoms, written as extended XYZ:
```
4
Lattice="-3.520 3.186 0.831 -1.745 -2.482 2.122 2.972 2.028 4.817" Properties=species:S:1:pos:R:3 pbc="T T T"
W -0.032 2.126 5.691
La -1.518 1.112 3.282
La 2.601 1.774 4.215
Se 1.115 0.761 1.807
```


no.,N(E_F) (states/eV/atom)
1,1.917
2,0.877